No. 1
A plane-wave DFT calculation with GGA-PBE was carried out for crystalline LiCd2Pd at its relaxed geometry.

Properties
The value obtained for the polymorph energy (0 for the lowest one) is 0.059 eV per atom. The crystal system is tetragonal.

Lattice parameters (Å, degrees): 3.3711 3.3711 6.1742 90.00 90.00 90.00
With the nearest neighbours (Å) after each atom.
Element x y z (fractional)
1 Cd 0.5000 0.5000 0.2514  4 Pd 2.84, 4 Li 2.84, 2 Cd 3.07-3.10
2 Cd 0.5000 0.5000 0.7486  4 Pd 2.84, 4 Li 2.84, 2 Cd 3.07-3.10
3 Li 0.0000 0.0000 0.0000  8 Cd 2.84, 2 Pd 3.09
4 Pd 0.0000 0.0000 0.5000  8 Cd 2.84, 2 Li 3.09

=====

No. 2
A plane-wave DFT calculation with GGA-PBE was carried out for crystalline ZrTaGe2 at its relaxed geometry.

Properties
The value obtained for the polymorph energy (0 for the lowest one) is 0.000 eV per atom. The crystal system is trigonal.

Lattice parameters (Å, degrees): 3.5152 3.5152 7.8718 90.00 90.00 120.00
With the nearest neighbours (Å) after each atom.
Element x y z (fractional)
1 Ge 0.3333 0.6667 0.2365  3 Ta 2.55, 3 Zr 2.65
2 Ge 0.0000 0.0000 0.7544  1 Ta 2.54
3 Ta 0.0000 0.0000 0.4321  4 Ge 2.54-2.55
4 Zr 0.6667 0.3333 0.0198  6 Ge 2.65-2.91

=====

No. 3
A plane-wave DFT calculation with GGA-PBE was carried out for crystalline K3NdP2S8 at its relaxed geometry.

Properties
The calculation puts the electronic total energy at -4.78 eV/atom. The crystal system is monoclinic.

Lattice parameters (Å, degrees): 9.1835 17.0372 9.5959 90.00 90.70 90.00
With the nearest neighbours (Å) after each atom.
Element x y z (fractional)
1 K 0.7328 0.4688 0.0136  6 S 3.18-3.47
2 K 0.1224 0.2927 0.1259  6 S 3.22-3.48
3 K 0.6182 0.2120 0.1288  7 S 3.28-3.67
4 K 0.3818 0.7120 0.3712  7 S 3.28-3.67
5 K 0.8776 0.7927 0.3741  6 S 3.22-3.48
6 K 0.2672 0.9688 0.4864  6 S 3.18-3.47
7 K 0.7328 0.0312 0.5136  6 S 3.18-3.47
8 K 0.1224 0.2073 0.6259  6 S 3.22-3.48
9 K 0.6182 0.2880 0.6288  7 S 3.28-3.67
10 K 0.3818 0.7880 0.8712  7 S 3.28-3.67
11 K 0.8776 0.7073 0.8741  6 S 3.22-3.48
12 K 0.2672 0.5312 0.9864  6 S 3.18-3.47
13 Nd 0.2274 0.0144 0.0260  7 S 2.88-3.14
14 Nd 0.7726 0.5144 0.4740  7 S 2.88-3.14
15 Nd 0.2274 0.4856 0.5260  7 S 2.88-3.14
16 Nd 0.7726 0.9856 0.9740  7 S 2.88-3.14
17 P 0.5251 0.9017 0.2203  4 S 2.02-2.08
18 P 0.9961 0.1003 0.2446  4 S 2.02-2.08
19 P 0.0039 0.6003 0.2554  4 S 2.02-2.08
20 P 0.4749 0.4017 0.2797  4 S 2.02-2.08
21 P 0.5251 0.5983 0.7203  4 S 2.02-2.08
22 P 0.9961 0.3997 0.7446  4 S 2.02-2.08
23 P 0.0039 0.8997 0.7554  4 S 2.02-2.08
24 P 0.4749 0.0983 0.7797  4 S 2.02-2.08
25 S 0.9652 0.1212 0.0329  1 P 2.08
26 S 0.4335 0.3745 0.0782  1 P 2.02
27 S 0.6634 0.8421 0.0912  1 P 2.05
28 S 0.1190 0.6762 0.1387  1 P 2.02
29 S 0.3132 0.8720 0.1714  1 P 2.06
30 S 0.5421 0.0212 0.1785  1 P 2.08
31 S 0.7842 0.6137 0.2248  1 P 2.05
32 S 0.0540 0.4826 0.2419  1 P 2.06
33 S 0.9460 0.9826 0.2581  1 P 2.06
34 S 0.2158 0.1137 0.2752  1 P 2.05
35 S 0.4579 0.5212 0.3215  1 P 2.08
36 S 0.6868 0.3720 0.3286  1 P 2.06
37 S 0.8810 0.1762 0.3613  1 P 2.02
38 S 0.3366 0.3421 0.4088  1 P 2.05
39 S 0.5665 0.8745 0.4218  1 P 2.02
40 S 0.0348 0.6212 0.4671  1 P 2.08
41 S 0.9652 0.3788 0.5329  1 P 2.08
42 S 0.4335 0.1255 0.5782  1 P 2.02
43 S 0.6634 0.6579 0.5912  1 P 2.05
44 S 0.1190 0.8238 0.6387  1 P 2.02
45 S 0.3132 0.6280 0.6714  1 P 2.06
46 S 0.5421 0.4788 0.6785  1 P 2.08
47 S 0.7842 0.8863 0.7248  1 P 2.05
48 S 0.0540 0.0174 0.7419  1 P 2.06
49 S 0.9460 0.5174 0.7581  1 P 2.06
50 S 0.2158 0.3863 0.7752  1 P 2.05
51 S 0.4579 0.9788 0.8215  1 P 2.08
52 S 0.6868 0.1280 0.8286  1 P 2.06
53 S 0.8810 0.3238 0.8613  1 P 2.02
54 S 0.3366 0.1579 0.9088  1 P 2.05
55 S 0.5665 0.6255 0.9218  1 P 2.02
56 S 0.0348 0.8788 0.9671  1 P 2.08

=====

No. 4
A plane-wave DFT calculation with GGA-PBE was carried out for crystalline TaCoGePt at its relaxed geometry.

Properties
The value obtained for the polymorph energy (0 for the lowest one) is 0.060 eV per atom. The crystal system is cubic.

Lattice parameters (Å, degrees): 4.3994 4.3994 4.3994 60.00 60.00 60.00
With the nearest neighbours (Å) after each atom.
Element x y z (fractional)
1 Co 0.7500 0.7500 0.7500  4 Ge 2.69, 4 Ta 2.69
2 Ge 0.0000 0.0000 0.0000  4 Pt 2.69, 4 Co 2.69
3 Pt 0.2500 0.2500 0.2500  4 Ge 2.69, 4 Ta 2.69
4 Ta 0.5000 0.5000 0.5000  4 Pt 2.69, 4 Co 2.69

=====

Q: What is the formula in the second record?
A: ZrTaGe2